1.
A PBEsol-optimized structure of Li2TaOs. Source: Alexandria via LeMat-Bulk, functional meta-GGA SCAN.

**Space group**: Pmmm (47)
**Uncorrected energy**: -35.576 eV/atom
**Energy of formation**: 235 meV per atom
**Total magnetization**: 0.000 μB per atom
**Energy relative to the lowest polymorph listed for this composition**: 129.0 meV/atom

Cell lengths 2.5459, 4.5014, 5.1332 Å; angles 90.00, 90.00, 90.00 degrees
Last column: nearest neighbours and their distance in Å.
Fractional coordinates of all 4 atoms:
Os1 0.5000 0.5000 0.0000  2 Os 2.55, 2 Ta 2.57, 8 Li 2.84
Ta1 0.5000 0.5000 0.5000  2 Ta 2.55, 2 Os 2.57
Li1 0.0000 0.0000 0.7720  3 Li 2.34-2.55
Li2 0.0000 0.0000 0.2280  3 Li 2.34-2.55

2.
A PBEsol-optimized structure of Ru2WSe. Source: Alexandria via LeMat-Bulk, functional meta-GGA SCAN.

**Space group**: P4/mmm (123)
**Uncorrected energy**: -39.333 eV/atom
**Energy relative to the elements, uncorrected**: 0.52 eV per atom
**Total magnetization**: 0.305 μB per atom

Cell lengths 2.8887, 4.5234, 4.5234 Å; angles 90.00, 90.00, 90.00 degrees
Last column: nearest neighbours and their distance in Å.
Fractional coordinates of all 4 atoms:
Ru1 0.0000 0.0000 0.5000  4 Se 2.68, 4 W 2.68, 2 Ru 2.89
Se1 0.5000 0.5000 0.5000  8 Ru 2.68, 2 Se 2.89
W1 0.5000 0.0000 0.0000  8 Ru 2.68, 2 W 2.89
Ru2 0.0000 0.5000 0.0000  4 W 2.68, 4 Se 2.68, 2 Ru 2.89

3.
A PBEsol-optimized structure of KFeCu2. Source: Alexandria via LeMat-Bulk, functional meta-GGA SCAN.

**Space group**: R-3m (166)
**Uncorrected energy**: -13.506 eV/atom
**Energy of formation**: 708 meV per atom
**Total magnetization**: 0.772 μB per atom
**Energy relative to the lowest polymorph listed for this composition**: 222.9 meV/atom

Cell lengths 2.7159, 2.7159, 9.6017 Å; angles 81.87, 81.87, 60.00 degrees
Last column: nearest neighbours and their distance in Å.
Fractional coordinates of all 4 atoms:
Fe1 0.5000 0.5000 0.5000  6 Cu 2.51, 6 Fe 2.72
Cu1 0.7642 0.7642 0.7075  3 Fe 2.51, 6 Cu 2.72
Cu2 0.2358 0.2358 0.2925  3 Fe 2.51, 6 Cu 2.72
K1 0.0000 0.0000 0.0000  6 K 2.72

4.
A PBEsol-optimized structure of Li4MnFe3B4O12. Source: Alexandria via LeMat-Bulk, functional meta-GGA SCAN.

**Space group**: P1 (1)
**Uncorrected energy**: -9.985 eV/atom
**Energy relative to the elements, uncorrected**: -2.21 eV per atom
**Total magnetization**: 0.041 μB per atom

Cell lengths 5.1704, 5.1474, 9.8128 Å; angles 88.45, 89.65, 119.81 degrees
Last column: nearest neighbours and their distance in Å.
Fractional coordinates of all 24 atoms:
Li1 0.6817 0.6706 0.6595  4 O 1.90-2.01
O1 0.3569 0.2912 0.6154  1 B 1.39
B1 0.3421 0.0144 0.6229  3 O 1.39
Mn1 0.6604 0.0011 0.8819  5 O 2.02-2.25
O2 0.9627 0.2788 0.4113  1 B 1.39
Li2 0.6316 0.6471 0.1672  4 O 1.91-2.02
B2 0.9706 0.3039 0.1303  3 O 1.38-1.39
O3 0.7111 0.0387 0.1031  1 B 1.39
O4 0.9447 0.5541 0.1574  1 B 1.39
Fe1 0.0435 0.6950 0.3663  4 O 1.98-2.17
O5 0.6867 0.7503 0.3662  1 B 1.37
B3 0.6999 0.0219 0.3790  3 O 1.37-1.39
O6 0.0758 0.7577 0.5966  1 B 1.39
B4 0.9951 0.6646 0.8772  3 O 1.38-1.40
O7 0.2452 0.3211 0.1268  1 B 1.38
Li3 0.3687 0.3542 0.4103  4 O 1.89-2.03
Li4 0.3255 0.3350 0.9166  4 O 1.92-2.09
Fe2 0.2935 0.9593 0.1487  4 O 1.96-2.18
O8 0.7203 0.6438 0.8627  1 B 1.38
O9 0.4488 0.0504 0.3568  1 B 1.39
Fe3 0.0133 0.3428 0.6270  4 O 1.93-2.15
O10 0.0279 0.4188 0.8457  1 B 1.40
O11 0.5955 0.9998 0.6555  1 B 1.39
O12 0.2391 0.9258 0.9195  1 B 1.39

5.
A PBEsol-optimized structure of SrSi. Source: Alexandria via LeMat-Bulk, functional meta-GGA SCAN.

**Space group**: I4_1/amd (141)
**Uncorrected energy**: -16.054 eV/atom
**Energy relative to the elements, uncorrected**: 0.09 eV per atom
**Total magnetization**: 0.000 μB per atom

Cell lengths 4.4838, 4.4838, 6.0814 Å; angles 111.63, 111.63, 90.00 degrees
Last column: nearest neighbours and their distance in Å.
Fractional coordinates of all 4 atoms:
Sr1 0.5000 0.5000 0.0000  8 Si 3.17-3.43, 4 Sr 3.43
Si1 0.2500 0.7500 0.5000  8 Sr 3.17-3.43, 4 Si 3.43
Si2 0.0000 0.0000 0.0000  8 Sr 3.17-3.43, 4 Si 3.43
Sr2 0.7500 0.2500 0.5000  8 Si 3.17-3.43, 4 Sr 3.43

6.
A PBEsol-optimized structure of YSc2Au. Source: Alexandria via LeMat-Bulk, functional meta-GGA SCAN.

**Space group**: Immm (71)
**Uncorrected energy**: -31.955 eV/atom
**Energy of formation**: -587 meV per atom
**Total magnetization**: 0.000 μB per atom
**Energy relative to the lowest polymorph listed for this composition**: 0.0 meV/atom

Cell lengths 3.4846, 4.9837, 6.1038 Å; angles 114.09, 106.59, 90.00 degrees
Last column: nearest neighbours and their distance in Å.
Fractional coordinates of all 4 atoms:
Sc1 0.7134 0.7134 0.4269  2 Au 2.85, 4 Sc 3.14
Y1 0.5000 0.0000 0.0000  4 Au 3.04, 4 Sc 3.36
Sc2 0.2866 0.2866 0.5731  2 Au 2.85, 4 Sc 3.14
Au1 0.0000 0.5000 0.0000  4 Sc 2.85, 4 Y 3.04

7.
A PBEsol-optimized structure of Nb3AlS. Source: Alexandria via LeMat-Bulk, functional meta-GGA SCAN.

**Space group**: Pm-3m (221)
**Uncorrected energy**: -23.303 eV/atom
**Energy relative to the elements, uncorrected**: 0.05 eV per atom
**Total magnetization**: 0.000 μB per atom

Cell lengths 4.5337, 4.5337, 4.5337 Å; angles 90.00, 90.00, 90.00 degrees
Last column: nearest neighbours and their distance in Å.
Fractional coordinates of all 5 atoms:
Al1 0.5000 0.5000 0.5000  12 Nb 3.21
Nb1 0.0000 0.0000 0.5000  2 S 2.27
S1 0.0000 0.0000 0.0000  6 Nb 2.27
Nb2 0.5000 0.0000 0.0000  2 S 2.27
Nb3 0.0000 0.5000 0.0000  2 S 2.27

8.
A PBEsol-optimized structure of LaPRu. Source: Alexandria via LeMat-Bulk, functional meta-GGA SCAN.

**Space group**: F-43m (216)
**Uncorrected energy**: -28.923 eV/atom
**Energy of formation**: 520 meV per atom
**Total magnetization**: 0.000 μB per atom

Cell lengths 4.5895, 4.5895, 4.5895 Å; angles 60.00, 60.00, 60.00 degrees
Last column: nearest neighbours and their distance in Å.
Fractional coordinates of all 3 atoms:
Ru1 0.5000 0.5000 0.5000  4 La 2.81
P1 0.0000 0.0000 0.0000  4 La 2.81
La1 0.2500 0.2500 0.2500  4 Ru 2.81, 4 P 2.81

9.
A PBEsol-optimized structure of TcIr3. Source: Alexandria via LeMat-Bulk, functional meta-GGA SCAN.

**Space group**: Imm2 (44)
**Uncorrected energy**: -62.242 eV/atom
**Energy of formation**: -153 meV per atom
**Total magnetization**: 0.000 μB per atom

Cell lengths 2.7208, 4.7318, 5.1315 Å; angles 117.45, 105.37, 90.00 degrees
Last column: nearest neighbours and their distance in Å.
Fractional coordinates of all 4 atoms:
Ir1 0.2515 0.2517 0.5029  3 Tc 2.67-2.70, 9 Ir 2.68-2.73
Ir2 0.7485 0.7488 0.4971  3 Tc 2.67-2.70, 9 Ir 2.68-2.73
Ir3 0.5000 0.1656 0.0000  8 Ir 2.68-2.72, 4 Tc 2.73
Tc1 0.0000 0.6664 0.0000  10 Ir 2.67-2.73, 2 Tc 2.72

10.
A PBEsol-optimized structure of Li2AgAu2. Source: Alexandria via LeMat-Bulk, functional meta-GGA SCAN.

**Space group**: I4/mmm (139)
**Uncorrected energy**: -35.153 eV/atom
**Energy of formation**: -261 meV per atom
**Total magnetization**: 0.000 μB per atom
**Energy relative to the lowest polymorph listed for this composition**: 173.4 meV/atom

Cell lengths 3.6601, 3.6601, 6.8061 Å; angles 105.60, 105.60, 90.00 degrees
Last column: nearest neighbours and their distance in Å.
Fractional coordinates of all 5 atoms:
Au1 0.6065 0.6065 0.2130  4 Li 2.57, 1 Au 2.68
Li1 0.2500 0.7500 0.5000  4 Au 2.57, 4 Li 2.59
Au2 0.3935 0.3935 0.7870  4 Li 2.57, 1 Au 2.68
Ag1 0.0000 0.0000 0.0000  8 Au 2.91
Li2 0.7500 0.2500 0.5000  4 Au 2.57, 4 Li 2.59

11.
A PBEsol-optimized structure of KRePdF2. Source: Alexandria via LeMat-Bulk, functional meta-GGA SCAN.

**Space group**: P4/mmm (123)
**Uncorrected energy**: -23.188 eV/atom
**Energy relative to the elements, uncorrected**: 0.67 eV per atom
**Total magnetization**: 1.101 μB per atom

Cell lengths 4.2505, 4.2505, 6.3299 Å; angles 90.00, 90.00, 90.00 degrees
Last column: nearest neighbours and their distance in Å.
Fractional coordinates of all 5 atoms:
K1 0.0000 0.0000 0.0000  4 F 2.13
F1 0.0000 0.5000 0.0000  2 K 2.13
Pd1 0.5000 0.5000 0.5000  4 Re 3.01
F2 0.5000 0.0000 0.0000  2 K 2.13
Re1 0.0000 0.0000 0.5000  4 Pd 3.01, 2 K 3.16

12.
A PBEsol-optimized structure of Li4CuNi3P4O16. Source: Alexandria via LeMat-Bulk, functional meta-GGA SCAN.

**Space group**: Pm (6)
**Uncorrected energy**: -9.877 eV/atom
**Energy relative to the elements, uncorrected**: -2.21 eV per atom
**Total magnetization**: 0.252 μB per atom

Cell lengths 4.6627, 5.8732, 9.9169 Å; angles 90.00, 90.62, 90.00 degrees
Last column: nearest neighbours and their distance in Å.
Fractional coordinates of all 28 atoms:
O1 0.2006 0.0000 0.4489  1 P 1.55
O2 0.6957 0.5000 0.0518  1 P 1.55
O3 0.2543 0.5000 0.4023  1 P 1.53
Ni1 0.4837 0.5000 0.2258  6 O 2.00-2.13
P1 0.0809 0.0000 0.5940  4 O 1.53-1.57
O4 0.7804 0.2910 0.3330  1 P 1.57
P2 0.4170 0.0000 0.0948  4 O 1.53-1.57
Ni2 0.9832 0.0000 0.2730  6 O 2.01-2.12
Li1 0.9939 0.2498 0.9980  6 O 2.08-2.14
O5 0.2761 0.7909 0.1675  1 P 1.57
P3 0.9260 0.5000 0.4049  4 O 1.53-1.57
O6 0.2280 0.7940 0.6676  1 P 1.57
O7 0.7530 0.0000 0.5984  1 P 1.53
O8 0.7454 0.0000 0.0978  1 P 1.53
O9 0.7111 0.2881 0.8356  1 P 1.56
Li2 0.9939 0.7502 0.9980  6 O 2.08-2.14
O10 0.2280 0.2060 0.6676  1 P 1.57
Ni3 0.5136 0.0000 0.7771  6 O 2.01-2.10
O11 0.8094 0.5000 0.5511  1 P 1.55
Li3 0.5051 0.7518 0.5006  6 O 2.09-2.13
O12 0.2761 0.2091 0.1675  1 P 1.57
O13 0.7111 0.7119 0.8356  1 P 1.56
O14 0.2906 0.0000 0.9495  1 P 1.55
Cu1 0.0387 0.5000 0.7204  4 O 1.98-2.02
O15 0.2439 0.5000 0.9004  1 P 1.54
O16 0.7804 0.7090 0.3330  1 P 1.57
P4 0.5746 0.5000 0.9052  4 O 1.54-1.56
Li4 0.5051 0.2482 0.5006  6 O 2.09-2.13